No. 1
Compound: ZrNiSb2
Source: the Alexandria database
Functional: PBEsol
Structure: optimized geometry

a = 4.0072 Å, b = 4.0072 Å, c = 5.5698 Å
α = 111.08°, β = 111.08°, γ = 90.00°
Closest atoms and distances in Å follow each position.
Atoms (fractional coordinates):
Ni: 0.2500 0.7500 0.5000  8 Sb 2.83-3.12, 4 Zr 3.12
Sb: 0.7500 0.2500 0.5000  4 Ni 2.83, 4 Zr 3.12, 4 Sb 3.12
Zr: 0.5000 0.5000 0.0000  8 Sb 2.83-3.12, 4 Ni 3.12
Sb: 0.0000 0.0000 0.0000  4 Zr 2.83, 4 Sb 3.12, 4 Ni 3.12

Crystal system: tetragonal
Total magnetic moment, μB/atom: 0.0000
Density of states at the Fermi level, states/eV/atom: 0.661


No. 2
Compound: Zr6NiSb2
Source: the Alexandria database
Functional: PBEsol
Structure: optimized geometry

a = 3.6222 Å, b = 7.7104 Å, c = 7.7104 Å
α = 120.00°, β = 90.00°, γ = 90.00°
Closest atoms and distances in Å follow each position.
Atoms (fractional coordinates):
Sb: 0.5000 0.3333 0.6667  9 Zr 2.97-2.99
Zr: 0.5000 0.0000 0.2414  2 Ni 2.60
Zr: 0.0000 0.0000 0.5977  4 Sb 2.97, 1 Ni 3.10, 6 Zr 3.25-3.29
Zr: 0.5000 0.2414 0.0000  2 Ni 2.60
Sb: 0.5000 0.6667 0.3333  9 Zr 2.97-2.99
Zr: 0.5000 0.7586 0.7586  2 Ni 2.60
Ni: 0.0000 0.0000 0.0000  6 Zr 2.60
Zr: 0.0000 0.5977 0.0000  4 Sb 2.97, 1 Ni 3.10, 6 Zr 3.25-3.29
Zr: 0.0000 0.4023 0.4023  4 Sb 2.97, 1 Ni 3.10, 6 Zr 3.25-3.29

Crystal system: hexagonal
Total magnetic moment, μB/atom: 0.0000
Density of states at the Fermi level, states/eV/atom: 0.771


No. 3
Compound: ZrNi2Sb
Source: the Alexandria database
Functional: PBEsol
Structure: optimized geometry

a = 4.0347 Å, b = 4.0347 Å, c = 5.2101 Å
α = 67.22°, β = 67.22°, γ = 60.00°
Closest atoms and distances in Å follow each position.
Atoms (fractional coordinates):
Ni: 0.7394 0.7394 0.7817  3 Ni 2.40, 3 Sb 2.49
Zr: 0.2618 0.2618 0.2145  3 Ni 2.73, 4 Sb 2.89-2.93
Ni: 0.0304 0.0304 0.9089  3 Ni 2.40
Sb: 0.4684 0.4684 0.5949  6 Ni 2.49-2.75

Crystal system: trigonal
Total magnetic moment, μB/atom: 0.0000
Density of states at the Fermi level, states/eV/atom: 0.901


No. 4
Compound: Zr3NiSb7
Source: the Alexandria database
Functional: PBEsol
Structure: optimized geometry

a = 3.9009 Å, b = 14.2780 Å, c = 17.4732 Å
α = 90.00°, β = 90.00°, γ = 90.00°
Closest atoms and distances in Å follow each position.
Atoms (fractional coordinates):
Sb: 0.7500 0.1852 0.7913  1 Ni 2.54
Sb: 0.7500 0.3148 0.2913  1 Ni 2.54
Sb: 0.2500 0.1458 0.2717  4 Zr 2.97-3.11, 4 Sb 3.10-3.12
Ni: 0.7500 0.3107 0.4368  6 Sb 2.54-2.70
Zr: 0.2500 0.9088 0.6079  8 Sb 2.94-3.15, 1 Ni 3.23
Zr: 0.7500 0.4088 0.8921  8 Sb 2.94-3.15, 1 Ni 3.23
Sb: 0.2500 0.9398 0.4293  5 Zr 2.98-3.15, 2 Sb 3.24
Sb: 0.2500 0.0765 0.9627  2 Ni 2.57
Zr: 0.7500 0.6910 0.8459  9 Sb 2.95-3.11
Sb: 0.2500 0.4790 0.2517  4 Zr 2.93-2.98, 4 Sb 3.10-3.13
Sb: 0.7500 0.0602 0.5707  5 Zr 2.98-3.15, 2 Sb 3.24
Zr: 0.7500 0.0912 0.3921  8 Sb 2.94-3.15, 1 Ni 3.23
Sb: 0.7500 0.8542 0.7283  4 Zr 2.97-3.11, 4 Sb 3.10-3.12
Sb: 0.7500 0.5765 0.5373  2 Ni 2.57
Sb: 0.7500 0.1747 0.0909  1 Ni 2.70, 4 Zr 2.94-2.95
Sb: 0.2500 0.2978 0.9792  2 Ni 2.60
Zr: 0.7500 0.9717 0.8702  8 Sb 2.93-3.00
Ni: 0.2500 0.8107 0.0632  6 Sb 2.54-2.70
Sb: 0.7500 0.3253 0.5909  1 Ni 2.70, 4 Zr 2.94-2.95
Zr: 0.2500 0.3090 0.1541  9 Sb 2.95-3.11
Sb: 0.2500 0.6852 0.7087  1 Ni 2.54
Sb: 0.2500 0.8148 0.2087  1 Ni 2.54
Sb: 0.7500 0.9235 0.0373  2 Ni 2.57
Ni: 0.2500 0.6893 0.5632  6 Sb 2.54-2.70
Zr: 0.2500 0.1910 0.6541  9 Sb 2.95-3.11
Sb: 0.2500 0.4235 0.4627  2 Ni 2.57
Sb: 0.2500 0.0210 0.7517  4 Zr 2.93-2.98, 4 Sb 3.10-3.13
Sb: 0.7500 0.5210 0.7483  4 Zr 2.93-2.98, 4 Sb 3.10-3.13
Sb: 0.7500 0.7978 0.5208  2 Ni 2.60
Zr: 0.7500 0.5283 0.3702  8 Sb 2.93-3.00
Sb: 0.2500 0.6747 0.4091  1 Ni 2.70, 4 Zr 2.94-2.95
Zr: 0.2500 0.5912 0.1079  8 Sb 2.94-3.15, 1 Ni 3.23
Sb: 0.7500 0.9790 0.2483  4 Zr 2.93-2.98, 4 Sb 3.10-3.13
Zr: 0.7500 0.8090 0.3459  9 Sb 2.95-3.11
Sb: 0.2500 0.5602 0.9293  5 Zr 2.98-3.15, 2 Sb 3.24
Ni: 0.7500 0.1893 0.9368  6 Sb 2.54-2.70
Zr: 0.2500 0.4717 0.6298  8 Sb 2.93-3.00
Sb: 0.7500 0.4398 0.0707  5 Zr 2.98-3.15, 2 Sb 3.24
Sb: 0.2500 0.8253 0.9091  1 Ni 2.70, 4 Zr 2.94-2.95
Sb: 0.7500 0.7022 0.0208  2 Ni 2.60
Zr: 0.2500 0.0283 0.1298  8 Sb 2.93-3.00
Sb: 0.7500 0.6458 0.2283  4 Zr 2.97-3.11, 4 Sb 3.10-3.12
Sb: 0.2500 0.3542 0.7717  4 Zr 2.97-3.11, 4 Sb 3.10-3.12
Sb: 0.2500 0.2022 0.4792  2 Ni 2.60

Crystal system: orthorhombic
Total magnetic moment, μB/atom: 0.0000
Density of states at the Fermi level, states/eV/atom: 0.313


No. 5
Compound: ZrNiSb2
Source: the Alexandria database
Functional: PBEsol
Structure: optimized geometry

a = 3.6384 Å, b = 4.9741 Å, c = 5.2962 Å
α = 118.01°, β = 110.09°, γ = 90.00°
Closest atoms and distances in Å follow each position.
Atoms (fractional coordinates):
Ni: 0.5000 0.0000 0.0000  4 Sb 2.59
Sb: 0.2139 0.2139 0.4279  2 Ni 2.59
Zr: 0.0000 0.5000 0.0000  8 Sb 3.06-3.10, 4 Ni 3.08
Sb: 0.7861 0.7861 0.5721  2 Ni 2.59

Crystal system: orthorhombic
Total magnetic moment, μB/atom: 0.0001
Density of states at the Fermi level, states/eV/atom: 0.997


No. 6
Compound: ZrNi2Sb
Source: the Alexandria database
Functional: PBEsol
Structure: optimized geometry

a = 4.1840 Å, b = 4.1840 Å, c = 8.1703 Å
α = 90.00°, β = 90.00°, γ = 120.00°
Closest atoms and distances in Å follow each position.
Atoms (fractional coordinates):
Sb: 0.0000 0.0000 0.5000  6 Ni 2.54
Ni: 0.3333 0.6667 0.4047  1 Ni 2.53, 3 Sb 2.54, 4 Zr 2.73-2.82
Ni: 0.3333 0.6667 0.0953  1 Ni 2.53, 3 Sb 2.54, 4 Zr 2.73-2.82
Ni: 0.6667 0.3333 0.5953  1 Ni 2.53, 3 Sb 2.54, 4 Zr 2.73-2.82
Zr: 0.6667 0.3333 0.2500  8 Ni 2.73-2.82
Zr: 0.3333 0.6667 0.7500  8 Ni 2.73-2.82
Ni: 0.6667 0.3333 0.9047  1 Ni 2.53, 3 Sb 2.54, 4 Zr 2.73-2.82
Sb: 0.0000 0.0000 0.0000  6 Ni 2.54

Crystal system: hexagonal
Total magnetic moment, μB/atom: 0.0001
Density of states at the Fermi level, states/eV/atom: 0.870


No. 7
Compound: ZrNiSb
Source: the Alexandria database
Functional: PBEsol
Structure: optimized geometry

a = 3.2316 Å, b = 3.2316 Å, c = 5.6605 Å
α = 106.59°, β = 106.59°, γ = 90.00°
Closest atoms and distances in Å follow each position.
Atoms (fractional coordinates):
Zr: 0.3555 0.3555 0.7110  4 Ni 2.72, 1 Sb 3.02
Ni: 0.9973 0.9973 0.9945  4 Zr 2.72, 4 Sb 2.76
Sb: 0.6472 0.6472 0.2944  4 Ni 2.76, 1 Zr 3.02

Crystal system: tetragonal
Total magnetic moment, μB/atom: 0.0006
Density of states at the Fermi level, states/eV/atom: 0.900


No. 8
Compound: Zr7NiSb3
Source: the Alexandria database
Functional: PBEsol
Structure: optimized geometry

a = 3.8737 Å, b = 14.5364 Å, c = 16.5666 Å
α = 90.00°, β = 90.00°, γ = 90.00°
Closest atoms and distances in Å follow each position.
Atoms (fractional coordinates):
Sb: 0.2500 0.3244 0.1640  9 Zr 2.88-2.99
Ni: 0.7500 0.2215 0.9245  3 Zr 2.41-2.52, 1 Sb 2.69
Sb: 0.2500 0.0384 0.1280  8 Zr 2.87-3.05
Zr: 0.7500 0.3491 0.2926  1 Ni 2.41
Zr: 0.2500 0.3278 0.7854  4 Sb 2.97-3.25, 4 Zr 3.16-3.22
Zr: 0.7500 0.9110 0.0479  2 Ni 2.77, 3 Sb 2.99-3.00
Zr: 0.7500 0.1509 0.7926  1 Ni 2.41
Zr: 0.7500 0.8278 0.7146  4 Sb 2.97-3.25, 4 Zr 3.16-3.22
Sb: 0.2500 0.9050 0.5965  1 Ni 2.69, 7 Zr 2.82-2.97
Sb: 0.7500 0.5384 0.3720  8 Zr 2.87-3.05
Zr: 0.7500 0.0520 0.5819  5 Sb 2.89-3.02, 2 Zr 3.24
Zr: 0.7500 0.0045 0.2527  4 Sb 2.82-2.96, 4 Zr 3.07-3.16
Sb: 0.7500 0.0950 0.4035  1 Ni 2.69, 7 Zr 2.82-2.97
Sb: 0.7500 0.8244 0.3360  9 Zr 2.88-2.99
Zr: 0.7500 0.6975 0.0088  2 Ni 2.52
Zr: 0.7500 0.4955 0.7527  4 Sb 2.82-2.96, 4 Zr 3.07-3.16
Zr: 0.2500 0.0890 0.9521  2 Ni 2.77, 3 Sb 2.99-3.00
Sb: 0.2500 0.1756 0.6640  9 Zr 2.88-2.99
Zr: 0.2500 0.5045 0.2473  4 Sb 2.82-2.96, 4 Zr 3.07-3.16
Ni: 0.7500 0.2785 0.4245  3 Zr 2.41-2.52, 1 Sb 2.69
Sb: 0.7500 0.6756 0.8360  9 Zr 2.88-2.99
Zr: 0.2500 0.5520 0.9181  5 Sb 2.89-3.02, 2 Zr 3.24
Sb: 0.2500 0.5950 0.0965  1 Ni 2.69, 7 Zr 2.82-2.97
Zr: 0.2500 0.8491 0.2074  1 Ni 2.41
Zr: 0.2500 0.9955 0.7473  4 Sb 2.82-2.96, 4 Zr 3.07-3.16
Sb: 0.2500 0.4616 0.6280  8 Zr 2.87-3.05
Zr: 0.2500 0.6863 0.3942  4 Sb 2.92-2.95, 1 Ni 3.05, 2 Zr 3.20
Zr: 0.2500 0.8137 0.8942  4 Sb 2.92-2.95, 1 Ni 3.05, 2 Zr 3.20
Zr: 0.7500 0.1863 0.1058  4 Sb 2.92-2.95, 1 Ni 3.05, 2 Zr 3.20
Zr: 0.2500 0.3025 0.9912  2 Ni 2.52
Sb: 0.7500 0.9616 0.8720  8 Zr 2.87-3.05
Zr: 0.2500 0.9480 0.4181  5 Sb 2.89-3.02, 2 Zr 3.24
Zr: 0.7500 0.6722 0.2146  4 Sb 2.97-3.25, 4 Zr 3.16-3.22
Zr: 0.7500 0.3137 0.6058  4 Sb 2.92-2.95, 1 Ni 3.05, 2 Zr 3.20
Zr: 0.7500 0.5890 0.5479  2 Ni 2.77, 3 Sb 2.99-3.00
Zr: 0.7500 0.8025 0.5088  2 Ni 2.52
Ni: 0.2500 0.7785 0.0755  3 Zr 2.41-2.52, 1 Sb 2.69
Zr: 0.2500 0.1722 0.2854  4 Sb 2.97-3.25, 4 Zr 3.16-3.22
Zr: 0.2500 0.1975 0.4912  2 Ni 2.52
Zr: 0.2500 0.6509 0.7074  1 Ni 2.41
Zr: 0.7500 0.4480 0.0819  5 Sb 2.89-3.02, 2 Zr 3.24
Sb: 0.7500 0.4050 0.9035  1 Ni 2.69, 7 Zr 2.82-2.97
Ni: 0.2500 0.7215 0.5755  3 Zr 2.41-2.52, 1 Sb 2.69
Zr: 0.2500 0.4110 0.4521  2 Ni 2.77, 3 Sb 2.99-3.00

Crystal system: orthorhombic
Total magnetic moment, μB/atom: 0.0000
Density of states at the Fermi level, states/eV/atom: 0.725


no.,calculated total energy (eV/atom)
1,-6.327
2,-8.383
3,-6.803
4,-6.515
5,-6.285
6,-7.107
7,-6.921
8,-8.183